VASP calculation (PBE) on a relaxed SrBi2Pb2 crystal.

Summary:
- Total DFT energy (no corrections): -3.573 eV/atom
- Formation energy from the elements: -0.2006 eV/atom
- SG: P4/mbm (127)
- DOS at the Fermi energy: 8.2 states/eV per cell

abc: 8.821 8.821 4.497
angles: 90.00 90.00 90.00
Atoms (fractional coordinates):
Sr 0.000 0.000 0.000
Sr 0.500 0.500 0.000
Bi 0.138 0.362 0.000
Bi 0.362 0.862 0.000
Bi 0.638 0.138 0.000
Bi 0.862 0.638 0.000
Pb 0.156 0.656 0.500
Pb 0.344 0.156 0.500
Pb 0.656 0.844 0.500
Pb 0.844 0.344 0.500